Entry from Alexandria via LeMat-Bulk: crystalline Mg3InCl at its relaxed geometry (PBE). Values from VASP.

## Properties
M_tot = 0.000 μB per atom
ΔE to the lowest computed polymorph = 0 meV/atom
total energy = -0.1472 Ry per atom

Quantum ESPRESSO input file:
```
&SYSTEM
  ibrav = 0, nat = 5, ntyp = 3
/
ATOMIC_SPECIES
Mg 24.30 Mg.upf
In 114.82 In.upf
Cl 35.45 Cl.upf
CELL_PARAMETERS angstrom
-2.485 3.156 3.566
-4.034 -3.532 0.314
2.529 -2.533 4.005
ATOMIC_POSITIONS angstrom
Mg -2.017 -1.766 0.157
Mg 1.265 -1.266 2.002
In 0.000 0.000 0.000
Mg -1.243 1.578 1.783
Cl -1.995 -1.454 3.942
```